# 1
VASP calculation (PBE-GGA) on a relaxed structure of BaLiTlPb2.

Properties
E_form: -31 kJ per mole of atoms
VASP energy: -3.0461 eV per atom
Space group: I-4m2, No. 119

a = 4.918 Å, b = 4.918 Å, c = 7.657 Å
α = 108.73°, β = 108.73°, γ = 90.00°
Sites, in units of the cell vectors:
Pb (0.613, 0.613, 0.227)
Tl (0.750, 0.250, 0.500)
Ba (0.000, 0.000, 0.000)
Pb (0.387, 0.387, 0.773)
Li (0.250, 0.750, 0.500)

# 2
VASP calculation (PBE-GGA) on a relaxed structure of Cs2Tl6Ga.

Properties
E_form: -6 kJ per mole of atoms
VASP energy: -2.1682 eV per atom
Space group: C2/m, No. 12

a = 5.913 Å, b = 8.576 Å, c = 8.576 Å
α = 55.63°, β = 96.19°, γ = 96.19°
Sites, in units of the cell vectors:
Tl (0.272, 0.759, 0.354)
Cs (0.194, 0.290, 0.290)
Tl (0.630, 0.114, 0.114)
Tl (0.272, 0.354, 0.759)
Tl (0.728, 0.646, 0.241)
Tl (0.728, 0.241, 0.646)
Cs (0.806, 0.710, 0.710)
Ga (0.000, 0.000, 0.000)
Tl (0.370, 0.886, 0.886)

# 3
VASP calculation (PBE-GGA) on a relaxed structure of PrTm2Zn2In2.

Properties
E_form: -27 kJ per mole of atoms
VASP energy: -3.3853 eV per atom
Space group: R-3m, No. 166

a = 4.735 Å, b = 4.735 Å, c = 9.512 Å
α = 75.59°, β = 75.59°, γ = 60.00°
Sites, in units of the cell vectors:
Tm (0.870, 0.870, 0.389)
In (0.742, 0.742, 0.775)
Tm (0.130, 0.130, 0.611)
Zn (0.590, 0.590, 0.230)
Zn (0.410, 0.410, 0.770)
In (0.258, 0.258, 0.225)
Pr (0.000, 0.000, 0.000)

# 4
VASP calculation (PBE-GGA) on a relaxed structure of SrMg2Ag.

Properties
E_form: 9 kJ per mole of atoms
VASP energy: -1.8385 eV per atom
Space group: I-42d, No. 122

a = 4.557 Å, b = 4.557 Å, c = 11.814 Å
α = 78.88°, β = 78.88°, γ = 90.00°
Sites, in units of the cell vectors:
Sr (0.500, 0.500, 0.000)
Ag (0.000, 0.000, 0.000)
Ag (0.750, 0.250, 0.500)
Mg (0.875, 0.917, 0.750)
Sr (0.250, 0.750, 0.500)
Mg (0.375, 0.333, 0.750)
Mg (0.667, 0.125, 0.250)
Mg (0.083, 0.625, 0.250)

# 5
VASP calculation (PBE-GGA) on a relaxed structure of LaZrBr2.

Properties
Formation energy without anion corrections: -753.1 meV per atom
VASP energy: -4.9584 eV per atom
Space group: C2/m, No. 12

a = 4.908 Å, b = 4.908 Å, c = 6.313 Å
α = 78.56°, β = 78.56°, γ = 42.39°
Sites, in units of the cell vectors:
Zr (0.750, 0.750, 0.750)
Br (0.493, 0.493, 0.530)
La (0.250, 0.250, 0.250)
Br (0.007, 0.007, 0.970)

# 6
VASP calculation (PBE-GGA) on a relaxed structure of LaTa2SbC.

Properties
Formation energy without anion corrections: 2337.0 meV per atom
VASP energy: -6.0588 eV per atom
Space group: P4/mmm, No. 123

a = 5.194 Å, b = 4.175 Å, c = 5.194 Å
α = 90.00°, β = 90.00°, γ = 90.00°
Sites, in units of the cell vectors:
La (0.000, 0.000, 0.000)
C (0.000, 0.500, 0.000)
Sb (0.500, 0.500, 0.500)
Ta (0.000, 0.000, 0.500)
Ta (0.500, 0.000, 0.000)

# 7
VASP calculation (PBE-GGA) on a relaxed structure of Np2SeSN.

Properties
Formation energy without anion corrections: -1296.9 meV per atom
VASP energy: -9.6607 eV per atom
Space group: C2/m, No. 12

a = 3.851 Å, b = 7.332 Å, c = 8.121 Å
α = 81.85°, β = 76.28°, γ = 74.77°
Each line ends with the local moment (μB).
Sites, in units of the cell vectors:
Se (0.151, 0.345, 0.353)  -0.12
Np (0.179, 0.705, 0.937)  3.36
N (0.345, 0.385, 0.925)  -0.18
Se (0.849, 0.655, 0.647)  -0.12
Np (0.487, 0.684, 0.342)  3.69
N (0.655, 0.615, 0.075)  -0.18
S (0.070, 0.078, 0.781)  -0.11
Np (0.821, 0.295, 0.063)  3.36
Np (0.513, 0.316, 0.658)  3.69
S (0.930, 0.922, 0.219)  -0.11

# 8
VASP calculation (PBE-GGA) on a relaxed structure of V6ReMo5.

Properties
E_form: -18 kJ per mole of atoms
VASP energy: -10.2962 eV per atom
Space group: Immm, No. 71

a = 4.330 Å, b = 6.126 Å, c = 7.528 Å
α = 114.01°, β = 106.71°, γ = 90.00°
Sites, in units of the cell vectors:
V (0.500, 0.751, 0.000)
Mo (0.666, 0.166, 0.332)
Mo (0.334, 0.834, 0.668)
Mo (0.333, 0.333, 0.666)
V (0.500, 0.249, 0.000)
V (0.834, 0.584, 0.668)
Re (0.000, 0.000, 0.000)
V (0.166, 0.917, 0.332)
Mo (0.667, 0.667, 0.334)
V (0.834, 0.083, 0.668)
V (0.166, 0.416, 0.332)
Mo (0.000, 0.500, 0.000)

# 9
VASP calculation (PBE-GGA) on a relaxed structure of Ca2CdCu5Rh2.

Properties
E_form: -10 kJ per mole of atoms
VASP energy: -4.1127 eV per atom
Space group: P4/mbm, No. 127

a = 3.986 Å, b = 9.253 Å, c = 9.253 Å
α = 90.00°, β = 90.00°, γ = 90.00°
Sites, in units of the cell vectors:
Rh (0.000, 0.873, 0.373)
Cu (0.500, 0.063, 0.794)
Cu (0.500, 0.000, 0.500)
Rh (0.000, 0.627, 0.873)
Cd (0.000, 0.500, 0.500)
Ca (0.000, 0.328, 0.828)
Ca (0.000, 0.672, 0.172)
Cu (0.500, 0.437, 0.294)
Cu (0.500, 0.706, 0.437)
Ca (0.000, 0.828, 0.672)
Cd (0.000, 0.000, 0.000)
Cu (0.500, 0.937, 0.206)
Ca (0.000, 0.172, 0.328)
Cu (0.500, 0.563, 0.706)
Rh (0.000, 0.373, 0.127)
Cu (0.500, 0.294, 0.563)
Cu (0.500, 0.500, 0.000)
Cu (0.500, 0.206, 0.063)
Cu (0.500, 0.794, 0.937)
Rh (0.000, 0.127, 0.627)

# 10
VASP calculation (PBE-GGA) on a relaxed structure of LaTbSm2S6.

Properties
Formation energy without anion corrections: -2062.2 meV per atom
VASP energy: -6.4383 eV per atom
Space group: R3, No. 146

a = 7.125 Å, b = 7.125 Å, c = 7.493 Å
α = 61.61°, β = 61.61°, γ = 60.00°
Sites, in units of the cell vectors:
S (0.713, 0.133, 0.752)
S (0.216, 0.923, 0.250)
Tb (0.316, 0.316, 0.053)
S (0.923, 0.611, 0.250)
S (0.612, 0.216, 0.250)
S (0.402, 0.713, 0.752)
La (0.810, 0.810, 0.571)
Sm (0.521, 0.521, 0.438)
Sm (0.017, 0.017, 0.949)
S (0.133, 0.402, 0.752)

# 11
VASP calculation (PBE-GGA) on a relaxed structure of K2YP.

Properties
E_form: -22 kJ per mole of atoms
VASP energy: -3.7451 eV per atom
Space group: Imm2, No. 44

a = 7.931 Å, b = 7.931 Å, c = 7.931 Å
α = 151.17°, β = 136.04°, γ = 53.43°
Sites, in units of the cell vectors:
K (0.334, 0.834, 0.500)
P (0.526, 0.526, 0.000)
K (0.992, 0.992, 0.000)
Y (0.649, 0.149, 0.500)

# 12
VASP calculation (PBE-GGA) on a relaxed structure of Ce3ZnIr.

Properties
E_form: -35 kJ per mole of atoms
VASP energy: -5.9544 eV per atom
Space group: P2_1/m, No. 11

a = 5.372 Å, b = 7.054 Å, c = 6.364 Å
α = 90.00°, β = 90.00°, γ = 97.34°
Each line ends with the local moment (μB).
Sites, in units of the cell vectors:
Ir (0.152, 0.528, 0.750)  -0.02
Ce (0.151, 0.854, 0.027)  0.06
Zn (0.359, 0.202, 0.750)  0.00
Ce (0.656, 0.604, 0.750)  0.21
Ir (0.848, 0.472, 0.250)  -0.02
Ce (0.849, 0.146, 0.527)  0.06
Ce (0.849, 0.146, 0.973)  0.06
Ce (0.151, 0.854, 0.473)  0.06
Ce (0.344, 0.396, 0.250)  0.21
Zn (0.641, 0.798, 0.250)  0.00

> What is the VASP energy in the second record?

-2.1682 eV per atom

> Which of these has the lowest VASP energy?

V6ReMo5